Here is TaMnFe2O6 after structural relaxation from the Alexandria database. Energies are from GGA+U.

calculated total energy	-0.2929	Ha/atom
density	6.44	g cm⁻³
total moment	12.0	μB/f.u.
space group	P1, No. 1

The structure in POSCAR format:
```
TaMnFe2O6
1.0
5.3809 0.1276 -0.1731
2.7976 4.5672 -0.1344
2.5687 1.5147 4.6276
Ta Mn Fe O
1 1 2 6
direct
0.3083 0.3213 0.0482
0.8041 0.8161 0.5533
0.5337 0.5273 0.4220
0.0278 0.0354 0.9203
0.6068 0.1893 0.2563
0.2430 0.9479 0.2351
0.9524 0.5821 0.2782
0.4157 0.6874 0.7800
0.6981 0.1059 0.7453
0.0717 0.4490 0.7766
```